Material: Ba2SrZr2
Method: DFT, PBE
State: optimized geometry

Cell: 6.740 6.740 6.740 Å, 121.08 121.08 88.15°
Fractional coordinates of all 5 atoms:
Ba 0.250 0.750 0.500
Ba 0.750 0.250 0.500
Sr 0.000 0.000 0.000
Zr 0.624 0.624 0.000
Zr 0.376 0.376 0.000

Properties
**Formation enthalpy at 0 K**: 0.745 eV/atom
**Crystal system**: tetragonal